PBE V2SbP2, relaxed; E_form (uncorrected) = -279 meV per atom; D(E_F) = 7.013 states/eV/cell
1.0
-4.2342 5.6802 -0.6686
-2.3693 -2.4992 -6.2274
-2.2179 -1.4839 1.4393
V P Sb
4 4 2
Cartesian
-3.5470 -0.1116 -5.5807
-5.1536 3.2670 -4.5732
-1.4500 -0.0860 -2.3229
-3.0565 3.2927 -1.3154
-2.9766 1.0042 -0.3581
-5.6446 3.2632 -2.1404
-3.1768 -1.5661 -3.3164
-5.8448 0.6930 -5.0986
0.0000 0.0000 0.0000
-3.3018 1.5905 -3.4480

---

PBE Y2CuHPt, relaxed; D(E_F) = 3.847 states/eV/cell; E = -29.5 eV per cell
1.0
4.9216 0.0000 0.0000
0.0000 4.9216 0.0000
0.0000 0.0000 3.6875
Y Pt H Cu
2 1 1 1
Cartesian
0.0000 2.4608 0.0000
2.4608 0.0000 0.0000
0.0000 0.0000 1.8437
0.0000 0.0000 0.0000
2.4608 2.4608 1.8437

---

PBE TiZnTe2I, relaxed; E_form (uncorrected) = 575 meV per atom; D(E_F) = 8.377 states/eV/cell
1.0
-2.1730 4.6394 1.2451
-4.7939 -2.0077 -0.8855
-0.3157 -1.5492 5.2215
Te Ti Zn I
2 1 1 1
Cartesian
-1.0865 2.3197 0.6225
-2.3969 -1.0039 -0.4428
-3.6413 0.5413 2.7905
0.0000 0.0000 0.0000
-0.1579 -0.7746 2.6107

---

PBE TaSbMo2, relaxed; E_form (uncorrected) = 697 meV per atom; D(E_F) = 7.217 states/eV/cell
1.0
-1.5249 0.9080 3.5715
-3.6845 -0.3028 -1.4961
-2.7748 -9.1799 3.3758
Sb Mo Ta
2 4 2
Cartesian
-2.6047 0.3026 1.0377
-4.5320 -4.5901 1.4587
-2.0432 -1.8035 2.7391
-3.2511 -2.3326 0.5053
-6.4845 -6.3427 4.4107
-4.1893 -6.6707 3.2473
-3.4521 -3.9847 3.9925
0.0000 0.0000 0.0000

---

PBE ScTl2Ru, relaxed; ΔE_f = 24.8 kJ per mole of atoms; D(E_F) = 3.976 states/eV/cell
1.0
-1.2546 4.7408 -0.2147
-3.5921 1.4542 -3.0129
-4.2990 1.4871 1.8445
Tl Sc Ru
2 1 1
Cartesian
0.0000 0.0000 0.0000
-2.2864 1.9205 -0.3458
-6.8593 5.7615 -1.0373
-4.5729 3.8410 -0.6915

---

PBE CoSn2Mo, relaxed; ΔE_f = 30.1 kJ per mole of atoms; D(E_F) = 2.756 states/eV/cell
1.0
0.0000 3.2451 3.2451
3.2451 0.0000 3.2451
3.2451 3.2451 0.0000
Sn Mo Co
2 1 1
Cartesian
1.6225 1.6225 1.6225
4.8676 4.8676 4.8676
3.2451 3.2451 3.2451
0.0000 0.0000 0.0000

---

Question: Among the records above, which one has the lowest D(E_F)?
Answer: CoSn2Mo